Below is CrHg3O2F6 after structural relaxation, with properties calculated at the PBE with a Hubbard U level.

a = 7.204 Å, b = 7.204 Å, c = 4.921 Å
α = 106.73°, β = 106.73°, γ = 57.22°
Element x y z (fractional)
1 Cr 0.000 0.000 0.000
2 Hg 0.000 0.500 0.500
3 Hg 0.500 0.000 0.500
4 Hg 0.500 0.500 0.500
5 O 0.331 0.331 0.430
6 O 0.669 0.669 0.570
7 F 0.090 0.090 0.393
8 F 0.102 0.716 0.065
9 F 0.284 0.898 0.935
10 F 0.716 0.102 0.065
11 F 0.898 0.284 0.935
12 F 0.910 0.910 0.607

- Total energy: -3.965 eV per atom
- Theoretical density: 6.547 g/cm3